A) A relaxed structure of Y4TmZn, computed with PBE-GGA.

Structure (POSCAR):
```
Y4TmZn
1.0
3.562 0.000 0.000
0.000 3.562 0.000
0.000 0.000 13.717
Y Tm Zn
4 1 1
Cartesian
0.000 0.000 1.780
0.000 0.000 11.936
1.781 1.781 4.389
1.781 1.781 9.328
0.000 0.000 6.858
1.781 1.781 0.000
```

Results
Size of the total moment = 0.00 μB per cell
Calculated volume = 29.000 A^3/atom
N(E_F) = 1.349 states/eV per atom

B) A relaxed structure of Y4TmZn, computed with PBE-GGA.

Structure (POSCAR):
```
Y4TmZn
1.0
4.414 -6.779 0.000
4.414 6.779 0.000
-2.009 0.000 5.902
Y Tm Zn
8 2 2
Cartesian
1.593 4.297 5.609
1.194 1.467 3.697
4.222 4.297 3.244
2.198 -1.467 0.746
4.621 1.467 5.156
2.598 -4.297 2.658
5.625 -1.467 2.205
5.226 -4.297 0.293
3.912 1.328 1.475
2.907 -1.328 4.426
2.907 6.770 4.426
3.912 -6.770 1.475
```

Results
Size of the total moment = 0.00 μB per cell
Calculated volume = 29.433 A^3/atom
N(E_F) = 1.564 states/eV per atom

Most stable structure, least stable structure: A), B).

A) A relaxed structure of Y3Tm4Zr, computed with PBE-GGA.

Structure (POSCAR):
```
Y3Tm4Zr
1.0
11.572 0.000 0.000
0.000 13.015 0.000
0.000 0.000 3.327
Y Tm Zr
6 8 2
Cartesian
0.000 0.000 0.000
2.893 3.254 1.664
2.893 9.761 1.664
5.786 6.507 0.000
8.679 3.254 1.664
8.679 9.761 1.664
0.000 3.439 0.000
0.000 9.576 0.000
2.632 6.507 1.664
3.154 0.000 1.664
5.786 3.069 0.000
5.786 9.946 0.000
8.418 0.000 1.664
8.941 6.507 1.664
0.000 6.507 0.000
5.786 0.000 0.000
```

Results
Size of the total moment = 4.64 μB per cell
Calculated volume = 31.320 A^3/atom
N(E_F) = 2.021 states/eV per atom

B) A relaxed structure of Y3Tm4Zr, computed with PBE-GGA.

Structure (POSCAR):
```
Y3Tm4Zr
1.0
22.663 0.000 0.000
0.000 3.372 0.000
-1.926 0.000 6.329
Y Tm Zr
6 8 2
Cartesian
0.000 0.000 0.000
2.012 0.000 2.426
7.393 1.686 3.903
11.331 1.686 0.000
13.344 1.686 2.426
18.725 0.000 3.903
1.080 0.000 5.408
4.024 1.686 4.717
5.381 0.000 1.612
8.325 1.686 0.922
12.412 1.686 5.408
15.356 0.000 4.717
16.712 1.686 1.612
19.656 0.000 0.922
-0.963 1.686 3.165
10.368 0.000 3.165
```

Results
Size of the total moment = 0.00 μB per cell
Calculated volume = 30.233 A^3/atom
N(E_F) = 1.721 states/eV per atom

Most stable structure, least stable structure: B), A).

A) A relaxed structure of YTm4Zr, computed with PBE-GGA.

Structure (POSCAR):
```
YTm4Zr
1.0
3.437 0.000 0.000
-1.716 5.703 0.000
-1.708 -1.588 8.846
Y Tm Zr
1 4 1
Cartesian
0.000 0.000 0.000
-1.711 1.511 7.236
-1.708 4.572 5.819
1.722 -0.457 3.027
1.725 2.605 1.610
0.007 2.058 4.423
```

Results
Size of the total moment = 0.00 μB per cell
Calculated volume = 28.902 A^3/atom
N(E_F) = 1.413 states/eV per atom

B) A relaxed structure of YTm4Zr, computed with PBE-GGA.

Structure (POSCAR):
```
YTm4Zr
1.0
4.376 -7.010 0.000
4.376 7.010 0.000
-2.052 0.000 5.851
Y Tm Zr
2 8 2
Cartesian
2.837 5.731 4.388
3.863 -5.731 1.463
0.064 1.667 5.081
2.595 2.624 2.705
1.090 -1.667 2.156
5.131 2.624 0.221
1.569 -2.624 5.630
5.610 1.667 3.696
4.105 -2.624 3.146
6.636 -1.667 0.770
3.863 0.037 1.463
2.837 -0.037 4.388
```

Results
Size of the total moment = 0.00 μB per cell
Calculated volume = 29.915 A^3/atom
N(E_F) = 1.702 states/eV per atom

Most stable structure, least stable structure: A), B).